Computed, not measured: an optimized crystal structure of CaAc3Ga at the PBE-GGA level of DFT.

Cell: 8.035 8.035 8.449 Å, 119.49 119.49 74.38°
Fractional coordinates of all 10 atoms:
Ca 0.066 0.066 0.253
Ca 0.934 0.934 0.747
Ac 0.008 0.410 0.744
Ac 0.410 0.008 0.744
Ac 0.460 0.460 0.687
Ac 0.540 0.540 0.313
Ac 0.590 0.992 0.256
Ac 0.992 0.590 0.256
Ga 0.233 0.233 0.086
Ga 0.767 0.767 0.914

Values from the calculation:
V   207 Å³/f.u.
N(E_F)   1.62 states/eV per atom
E_tot   -3.539 eV/atom